## CeCl6F2 (PBE-GGA)

Data for a geometry-optimized CeCl6F2 structure.

Lattice parameters (Å, degrees): 3.8127 16.2845 11.0014 45.97 49.27 32.06
Last column: magnetic moment on the atom in μB.
Fractional coordinates of all 9 atoms:
Ce1 0.0000 0.0000 0.0000  0.19
Cl1 0.0662 0.9120 0.6184  0.00
Cl2 0.9338 0.0880 0.3816  0.00
Cl3 0.9343 0.2928 0.0137  -0.01
Cl4 0.0382 0.5444 0.3725  0.00
Cl5 0.9618 0.4556 0.6275  0.00
Cl6 0.0657 0.7071 0.9863  -0.01
F1 0.4676 0.9247 0.1609  0.00
F2 0.5324 0.0753 0.8391  0.00

Properties
electronic total energy = -3.8261 eV/atom
formation energy from raw total energies = -13.679 eV per formula unit

## MgScTe (PBE-GGA)

Data for a geometry-optimized MgScTe structure.

Lattice parameters (Å, degrees): 5.8750 5.8750 3.7138 71.57 71.58 36.85
Last column: magnetic moment on the atom in μB.
Fractional coordinates of all 3 atoms:
Mg1 0.9994 0.9994 0.0006  0.01
Sc1 0.6782 0.6782 0.3218  0.39
Te1 0.3224 0.3224 0.6776  -0.01

Properties
electronic total energy = -4.1790 eV/atom
energy above the most stable polymorph in this dataset = 0.0607 eV per atom
formation energy from raw total energies = -1.469 eV per formula unit

## TiMnHRh2 (PBE-GGA)

Data for a geometry-optimized TiMnHRh2 structure.

Lattice parameters (Å, degrees): 3.9291 3.9291 3.8556 90.00 90.00 90.00
Last column: magnetic moment on the atom in μB.
Fractional coordinates of all 5 atoms:
H1 0.0000 0.0000 0.0000  0.00
Mn1 0.5000 0.5000 0.5000  3.26
Rh1 0.0000 0.5000 0.0000  0.10
Rh2 0.5000 0.0000 0.0000  0.10
Ti1 0.0000 0.0000 0.5000  -0.37

Properties
electronic total energy = -7.4057 eV/atom
energy above the most stable polymorph in this dataset = 0.0307 eV per atom

## TaTc2Ir (PBE-GGA)

Data for a geometry-optimized TaTc2Ir structure.

Lattice parameters (Å, degrees): 9.3186 9.3186 9.3186 17.21 17.21 17.21
Fractional coordinates of all 4 atoms:
Ir1 0.5015 0.5015 0.5015
Ta1 0.7516 0.7516 0.7516
Tc1 0.9953 0.9953 0.9953
Tc2 0.2516 0.2516 0.2516

Properties
electronic total energy = -10.3930 eV/atom
energy above the most stable polymorph in this dataset = 0.2298 eV per atom
ΔE_f = -31.6 meV per atom

## MnBeAu2 (PBE-GGA)

Data for a geometry-optimized MnBeAu2 structure.

Lattice parameters (Å, degrees): 2.9767 2.9502 7.3471 66.26 90.00 90.00
Last column: magnetic moment on the atom in μB.
Fractional coordinates of all 4 atoms:
Be1 0.5000 0.2500 0.2500  -0.01
Mn1 0.5000 0.7500 0.7500  3.87
Au1 0.0000 0.9673 0.0329  0.02
Au2 0.0000 0.5327 0.4671  0.02

Properties
electronic total energy = -4.9380 eV/atom
ΔE_f = -75.4 meV per atom

## La2Pm6Dy3Ho (PBE-GGA)

Data for a geometry-optimized La2Pm6Dy3Ho structure.

Lattice parameters (Å, degrees): 6.2945 6.2945 12.0292 95.02 95.02 120.01
Fractional coordinates of all 12 atoms:
La1 0.3334 0.6666 0.0000
La2 0.6666 0.3334 0.0000
Pm1 0.9150 0.5832 0.7459
Pm2 0.7532 0.7532 0.2544
Pm3 0.0850 0.4168 0.2541
Pm4 0.5832 0.9150 0.7459
Pm5 0.2468 0.2468 0.7456
Pm6 0.4168 0.0850 0.2541
Dy1 0.1662 0.8338 0.5000
Dy2 0.8338 0.1662 0.5000
Dy3 0.5000 0.5000 0.5000
Ho1 0.0000 0.0000 0.0000

Properties
electronic total energy = -4.7093 eV/atom
ΔE_f = 19.2 meV per atom